The following is a DFT calculation (PBE) of an optimized crystal structure of PaTiBeSi2.

Results
E: -6.837 eV per atom
formation energy without anion corrections: -0.444 eV/atom

a = 3.835 Å, b = 3.835 Å, c = 11.254 Å
α = 90.00°, β = 90.00°, γ = 90.00°
Sites, in units of the cell vectors:
1 Pa 0.000 0.000 0.000
2 Pa 0.500 0.500 0.500
3 Ti 0.000 0.500 0.750
4 Ti 0.500 0.000 0.250
5 Be 0.000 0.500 0.250
6 Be 0.500 0.000 0.750
7 Si 0.000 0.000 0.391
8 Si 0.000 0.000 0.609
9 Si 0.500 0.500 0.109
10 Si 0.500 0.500 0.891

***

The following is a DFT calculation (PBE) of an optimized crystal structure of CaTh2V.

Results
E: -5.948 eV per atom
calculated formation energy: 2.17 eV/f.u.

a = 3.477 Å, b = 3.477 Å, c = 34.848 Å
α = 90.00°, β = 90.00°, γ = 120.00°
Sites, in units of the cell vectors:
1 Ca 0.000 0.000 0.000
2 Ca 0.333 0.667 0.667
3 Ca 0.667 0.333 0.333
4 Th 0.000 0.000 0.101
5 Th 0.000 0.000 0.899
6 Th 0.333 0.667 0.566
7 Th 0.333 0.667 0.767
8 Th 0.667 0.333 0.233
9 Th 0.667 0.333 0.434
10 V 0.000 0.000 0.500
11 V 0.333 0.667 0.167
12 V 0.667 0.333 0.833

***

The following is a DFT calculation (PBE) of an optimized crystal structure of CsSc2Ti.

Results
E: -4.375 eV per atom
calculated formation energy: 3.91 eV/f.u.

a = 7.611 Å, b = 7.611 Å, c = 7.611 Å
α = 90.00°, β = 90.00°, γ = 90.00°
Sites, in units of the cell vectors:
1 Cs 0.000 0.000 0.000
2 Cs 0.000 0.500 0.500
3 Cs 0.500 0.000 0.500
4 Cs 0.500 0.500 0.000
5 Sc 0.250 0.250 0.250
6 Sc 0.250 0.250 0.750
7 Sc 0.250 0.750 0.250
8 Sc 0.250 0.750 0.750
9 Sc 0.750 0.250 0.250
10 Sc 0.750 0.250 0.750
11 Sc 0.750 0.750 0.250
12 Sc 0.750 0.750 0.750
13 Ti 0.000 0.000 0.500
14 Ti 0.000 0.500 0.000
15 Ti 0.500 0.000 0.000
16 Ti 0.500 0.500 0.500